A relaxed K3Pm2SnSe6 crystal. Source: Alexandria via LeMat-Bulk, functional PBE.

abc: 7.4440 12.8959 8.0832
angles: 90.00 107.85 90.00
Closest atoms and distances in Å follow each position.
Space group C2/m (No. 12)
Unique sites:
K  0.0000  0.0000  0.0000 (multiplicity 2)  6 Se 3.34-3.38
K  0.0000  0.3338  0.0000 (multiplicity 4)  6 Se 3.33-3.38
Pm  0.0000  0.1667  0.5000 (multiplicity 4)  6 Se 2.97
Sn  0.0000  0.5000  0.5000 (multiplicity 2)  6 Se 2.92
Se  0.2335  0.3358  0.7076 (multiplicity 8)  1 Sn 2.92, 2 Pm 2.97
Se  0.2406  0.0000  0.7074 (multiplicity 4)  1 Sn 2.92, 2 Pm 2.97

Properties
formation energy (no corrections) = -1.399 eV/atom
calculated volume = 739 Å³/cell

---

A relaxed TaPdW2 crystal. Source: Alexandria via LeMat-Bulk, functional PBE.

abc: 3.7924 3.7924 19.8003
angles: 90.00 90.00 90.00
Closest atoms and distances in Å follow each position.
Space group I-42d (No. 122)
Unique sites:
Ta  0.0000  0.0000  0.0000 (multiplicity 4)  4 Pd 2.68, 4 W 2.80
Pd  0.0000  0.0000  0.5000 (multiplicity 4)  4 Ta 2.68, 4 W 2.83
W  0.2377  0.2500  0.1250 (multiplicity 8)  4 W 2.62-2.75, 2 Ta 2.80, 2 Pd 2.83

Properties
distance to the lowest polymorph of the same formula = 369 meV per atom
formation energy from the elements = 0.671 eV/atom
calculated volume = 285 Å³/cell

---

A relaxed Hf2MnPb crystal. Source: Alexandria via LeMat-Bulk, functional PBE.

abc: 3.1668 3.1668 8.0473
angles: 90.00 90.00 90.00
Closest atoms and distances in Å follow each position.
Space group P4/mmm (No. 123)
Unique sites:
Hf  0.0000  0.0000  0.1908 (multiplicity 2)  4 Mn 2.71
Mn  0.5000  0.5000  0.0000 (multiplicity 1)  8 Hf 2.71
Pb  0.5000  0.5000  0.5000 (multiplicity 1)  4 Pb 3.17, 8 Hf 3.35

Properties
formation energy from the elements = -0.051 eV/atom
calculated volume = 81 Å³/cell

---

A relaxed CaLaPrHo crystal. Source: Alexandria via LeMat-Bulk, functional PBE.

abc: 8.3322 8.3322 8.3322
angles: 90.00 90.00 90.00
Closest atoms and distances in Å follow each position.
Space group F-43m (No. 216)
Unique sites:
Ca  0.0000  0.0000  0.0000 (multiplicity 4)  4 La 3.61, 4 Pr 3.61
La  0.2500  0.2500  0.7500 (multiplicity 4)  4 Ca 3.61, 4 Ho 3.61
Pr  0.2500  0.2500  0.2500 (multiplicity 4)  4 Ho 3.61, 4 Ca 3.61
Ho  0.0000  0.0000  0.5000 (multiplicity 4)  4 La 3.61, 4 Pr 3.61

Properties
distance to the lowest polymorph of the same formula = 59 meV per atom
formation energy from the elements = 0.104 eV/atom
calculated volume = 578 Å³/cell

---

A relaxed K3NaIr2O9 crystal. Source: Alexandria via LeMat-Bulk, functional PBE.

abc: 5.7243 5.7243 7.2951
angles: 90.00 90.00 120.00
Closest atoms and distances in Å follow each position.
Space group P-3m1 (No. 164)
Unique sites:
K  0.0000  0.0000  0.0000 (multiplicity 1)  12 O 2.81-2.86
K  0.3333  0.6667  0.6543 (multiplicity 2)  12 O 2.89-3.02
Na  0.0000  0.0000  0.5000 (multiplicity 1)  6 O 2.31
Ir  0.3333  0.6667  0.1555 (multiplicity 2)  6 O 1.85-2.00
O  0.0000  0.5000  0.0000 (multiplicity 3)  2 Ir 2.00
O  0.1792  0.3584  0.2986 (multiplicity 6)  1 Ir 1.85

Properties
formation energy (no corrections) = -1.043 eV/atom
calculated volume = 207 Å³/cell

---

A relaxed Ce8TcIr3Br4 crystal. Source: Alexandria via LeMat-Bulk, functional PBE.

abc: 8.1781 8.1781 22.9549
angles: 90.00 90.00 120.00
Closest atoms and distances in Å follow each position.
Space group R-3m (No. 166, hexagonal axes)
Unique sites:
Ce  0.0000  0.0000  0.2319 (multiplicity 6)  3 Ir 2.80
Ce  0.0053  0.5027  0.2325 (multiplicity 18)  1 Tc 2.77, 2 Ir 2.82
Tc  0.0000  0.0000  0.5000 (multiplicity 3)  6 Ce 2.77
Ir  0.0000  0.5000  0.5000 (multiplicity 9)  6 Ce 2.80-2.82
Br  0.0000  0.0000  0.0000 (multiplicity 3)  6 Ce 3.33
Br  0.0000  0.5000  0.0000 (multiplicity 9)  6 Ce 3.29-3.32

Properties
formation energy (no corrections) = -0.943 eV/atom
calculated volume = 1330 Å³/cell